The following is a DFT calculation (PBE) of crystalline PrNiBiSb at its relaxed geometry.

Properties
Energy relative to the lowest polymorph listed for this composition ... 0 meV/atom
Total magnetic moment ... 0.0 μB/cell
V ... 99.8 Å³/f.u.

```
PrNiBiSb
1.0
4.497 0.000 0.000
0.000 4.497 0.000
0.000 0.000 9.870
Sb Bi Ni Pr
2 2 2 2
direct
0.000 0.000 0.870 Sb
0.500 0.500 0.131 Sb
0.000 0.500 0.499 Bi
0.500 0.000 0.499 Bi
0.500 0.000 0.001 Ni
0.000 0.500 0.001 Ni
0.000 0.000 0.228 Pr
0.500 0.500 0.771 Pr
```